! Li2V2P2H12O15, relaxed, DFT PBE+U; values from VASP
&SYSTEM
  ibrav = 0, nat = 66, ntyp = 5
/
ATOMIC_SPECIES
Li 6.94 Li.upf
V 50.94 V.upf
P 30.97 P.upf
H 1.01 H.upf
O 16.00 O.upf
CELL_PARAMETERS angstrom
11.1128 -2.5485 0.0000
11.1128 2.5485 0.0000
-2.1316 0.0000 10.3203
ATOMIC_POSITIONS crystal
Li 0.0763 0.4024 0.3642
Li 0.4024 0.0763 0.8642
Li 0.5976 0.9237 0.1358
Li 0.9237 0.5976 0.6358
V 0.0176 0.7352 0.5293
V 0.2648 0.9824 0.9707
V 0.7352 0.0176 0.0293
V 0.9824 0.2648 0.4707
P 0.1756 0.5109 0.2262
P 0.4891 0.8244 0.2738
P 0.5109 0.1756 0.7262
P 0.8244 0.4891 0.7738
H 0.0312 0.1607 0.1765
H 0.1255 0.3211 0.0819
H 0.1607 0.0312 0.6765
H 0.1907 0.7968 0.9290
H 0.1932 0.7305 0.2339
H 0.2032 0.8093 0.5710
H 0.2196 0.5698 0.9040
H 0.2695 0.8068 0.2661
H 0.3211 0.1255 0.5819
H 0.4050 0.5548 0.6461
H 0.4302 0.7804 0.5960
H 0.4452 0.5950 0.8539
H 0.5548 0.4050 0.1461
H 0.5698 0.2196 0.4040
H 0.5950 0.4452 0.3539
H 0.6789 0.8745 0.4181
H 0.7305 0.1932 0.7339
H 0.7804 0.4302 0.0960
H 0.7968 0.1907 0.4290
H 0.8068 0.2695 0.7661
H 0.8093 0.2032 0.0710
H 0.8393 0.9688 0.3235
H 0.8745 0.6789 0.9181
H 0.9688 0.8393 0.8235
O 0.0016 0.4415 0.7906
O 0.0100 0.7683 0.1874
O 0.0520 0.7741 0.9141
O 0.1596 0.2552 0.5227
O 0.2259 0.9480 0.5859
O 0.2320 0.7028 0.5913
O 0.2317 0.9900 0.3126
O 0.2552 0.1596 0.0227
O 0.2558 0.4358 0.6521
O 0.2620 0.4775 0.3747
O 0.2972 0.7680 0.9087
O 0.3411 0.6589 0.2500
O 0.4358 0.2558 0.1521
O 0.4415 0.0016 0.2906
O 0.4775 0.2620 0.8747
O 0.5225 0.7380 0.1253
O 0.5585 0.9984 0.7094
O 0.5642 0.7442 0.8479
O 0.6589 0.3411 0.7500
O 0.7028 0.2320 0.0913
O 0.7380 0.5225 0.6253
O 0.7442 0.5642 0.3479
O 0.7448 0.8404 0.9773
O 0.7683 0.0100 0.6874
O 0.7680 0.2972 0.4087
O 0.7741 0.0520 0.4141
O 0.8404 0.7448 0.4773
O 0.9480 0.2259 0.0859
O 0.9900 0.2317 0.8126
O 0.9984 0.5585 0.2094
! Density of states at the Fermi level: 0.0 states/eV/cell
! Space-group type: C2/c (15)
! Energy: -5.965 eV/atom

! AlVGaF6, relaxed, DFT PBE+U; values from VASP
&SYSTEM
  ibrav = 0, nat = 9, ntyp = 4
/
ATOMIC_SPECIES
Al 26.98 Al.upf
V 50.94 V.upf
Ga 69.72 Ga.upf
F 19.00 F.upf
CELL_PARAMETERS angstrom
2.6837 -4.6353 0.0000
2.6837 4.6353 0.0000
-0.0180 0.0000 5.5210
ATOMIC_POSITIONS crystal
Al 0.0000 0.0000 0.0000
V 0.6661 0.3339 0.0000
Ga 0.3329 0.6671 0.5000
F 0.2923 0.2737 0.8126
F 0.2943 0.0191 0.1871
F 0.7241 0.0182 0.8131
F 0.7263 0.7077 0.1874
F 0.9809 0.7057 0.8129
F 0.9818 0.2759 0.1869
! Density of states at the Fermi level: 0.0 states/eV/cell
! Space-group type: C2 (5)
! Energy: -5.631 eV/atom